Material: MoW3
Method: DFT, SCAN
State: PBEsol geometry

Properties
- Crystal system: tetragonal
- Spin magnetization: 0.00 μB/cell
- N(E_F): 1.8 states/eV per cell
- Raw total energy: -2.241 hartree per atom
- Formation enthalpy at 0 K: -0.004 eV/atom
- Calculated volume: 15.6 A^3/atom
- Distance to the lowest polymorph of the same formula: 2 meV per atom

Cell and atoms, written as CIF:
```
data_MoW3
_chemical_formula_sum 'Mo1 W3'
_cell_length_a 4.453
_cell_length_b 4.453
_cell_length_c 3.145
_cell_angle_alpha 90.00
_cell_angle_beta 90.00
_cell_angle_gamma 90.00
_space_group_name_H-M_alt 'P 4/m m m'
_space_group_IT_number 123
_space_group_name_Hall '-P 4 2'
loop_
_atom_site_label
_atom_site_fract_x
_atom_site_fract_y
_atom_site_fract_z
_atom_site_occupancy
Mo1 0.000 0.000 0.000 1
W1 0.000 0.500 0.500 1
W2 0.500 0.500 0.000 1
```



Material: MoW
Method: DFT, SCAN
State: PBEsol geometry

Properties
- Crystal system: monoclinic
- Spin magnetization: 0.00 μB/cell
- N(E_F): 1.7 states/eV per cell
- Raw total energy: -1.922 hartree per atom
- Formation enthalpy at 0 K: -0.005 eV/atom
- Calculated volume: 15.5 A^3/atom
- Distance to the lowest polymorph of the same formula: 6 meV per atom

Cell and atoms, written as CIF:
```
data_MoW
_chemical_formula_sum 'Mo2 W2'
_cell_length_a 2.719
_cell_length_b 4.446
_cell_length_c 5.205
_cell_angle_alpha 90.00
_cell_angle_beta 100.07
_cell_angle_gamma 90.00
_space_group_name_H-M_alt 'P 1 21/m 1'
_space_group_IT_number 11
loop_
_space_group_symop_operation_xyz
'x,y,z'
'-x,-y,-z'
'-x,y+1/2,-z'
'x,-y+1/2,z'
loop_
_atom_site_label
_atom_site_fract_x
_atom_site_fract_y
_atom_site_fract_z
_atom_site_occupancy
Mo1 0.123 0.250 0.375 1
W1 0.373 0.750 0.125 1
```



Material: Mo11W5
Method: DFT, SCAN
State: PBEsol geometry

Properties
- Crystal system: monoclinic
- Spin magnetization: 0.00 μB/cell
- N(E_F): 10.0 states/eV per cell
- Raw total energy: -1.682 hartree per atom
- Formation enthalpy at 0 K: -0.002 eV/atom
- Calculated volume: 15.4 A^3/atom

Cell and atoms, written as CIF:
```
data_Mo11W5
_chemical_formula_sum 'Mo11 W5'
_cell_length_a 6.269
_cell_length_b 6.269
_cell_length_c 6.269
_cell_angle_alpha 90.00
_cell_angle_beta 90.01
_cell_angle_gamma 90.00
_space_group_name_H-M_alt 'P 1 m 1'
_space_group_IT_number 6
loop_
_space_group_symop_operation_xyz
'x,y,z'
'x,-y,z'
loop_
_atom_site_label
_atom_site_fract_x
_atom_site_fract_y
_atom_site_fract_z
_atom_site_occupancy
Mo1 0.000 0.000 0.000 1
Mo2 0.000 0.000 0.499 1
Mo3 0.000 0.500 0.499 1
Mo4 0.250 0.250 0.250 1
Mo5 0.501 0.000 0.000 1
Mo6 0.501 0.500 0.499 1
Mo7 0.751 0.250 0.250 1
Mo8 0.751 0.250 0.749 1
W1 0.000 0.500 0.000 1
W2 0.250 0.250 0.749 1
W3 0.501 0.000 0.499 1
W4 0.501 0.500 0.000 1
```



Material: MoW
Method: DFT, SCAN
State: PBEsol geometry

Properties
- Crystal system: triclinic
- Spin magnetization: 0.00 μB/cell
- N(E_F): 8.1 states/eV per cell
- Raw total energy: -1.922 hartree per atom
- Formation enthalpy at 0 K: -0.004 eV/atom
- Calculated volume: 15.5 A^3/atom
- Distance to the lowest polymorph of the same formula: 7 meV per atom

Cell and atoms, written as CIF:
```
data_MoW
_chemical_formula_sum 'Mo8 W8'
_cell_length_a 5.210
_cell_length_b 5.431
_cell_length_c 9.295
_cell_angle_alpha 73.06
_cell_angle_beta 87.14
_cell_angle_gamma 79.95
_space_group_name_H-M_alt 'P -1'
_space_group_IT_number 2
loop_
_space_group_symop_operation_xyz
'x,y,z'
'-x,-y,-z'
loop_
_atom_site_label
_atom_site_fract_x
_atom_site_fract_y
_atom_site_fract_z
_atom_site_occupancy
Mo1 0.125 0.000 0.125 1
Mo2 0.125 0.250 0.625 1
Mo3 0.125 0.750 0.624 1
Mo4 0.375 0.499 0.376 1
W1 0.125 0.499 0.126 1
W2 0.374 0.750 0.875 1
W3 0.375 0.250 0.874 1
W4 0.375 0.999 0.375 1
```



Material: MoW3
Method: DFT, SCAN
State: PBEsol geometry

Properties
- Crystal system: orthorhombic
- Spin magnetization: 0.00 μB/cell
- N(E_F): 6.9 states/eV per cell
- Raw total energy: -2.241 hartree per atom
- Formation enthalpy at 0 K: -0.004 eV/atom
- Calculated volume: 15.6 A^3/atom
- Distance to the lowest polymorph of the same formula: 2 meV per atom

Cell and atoms, written as CIF:
```
data_MoW3
_chemical_formula_sum 'Mo4 W12'
_cell_length_a 6.284
_cell_length_b 8.886
_cell_length_c 4.460
_cell_angle_alpha 90.00
_cell_angle_beta 90.00
_cell_angle_gamma 90.00
_space_group_name_H-M_alt 'C m c m'
_space_group_IT_number 63
_space_group_name_Hall '-C 2c 2'
loop_
_atom_site_label
_atom_site_fract_x
_atom_site_fract_y
_atom_site_fract_z
_atom_site_occupancy
Mo1 0.000 0.125 0.250 1
W1 0.000 0.375 0.750 1
W2 0.249 0.125 0.750 1
```



Material: Mo3W5
Method: DFT, SCAN
State: PBEsol geometry

Properties
- Crystal system: orthorhombic
- Spin magnetization: 0.00 μB/cell
- N(E_F): 7.4 states/eV per cell
- Raw total energy: -2.082 hartree per atom
- Formation enthalpy at 0 K: -0.008 eV/atom
- Calculated volume: 15.5 A^3/atom
- Distance to the lowest polymorph of the same formula: 0 meV per atom

Cell and atoms, written as CIF:
```
data_Mo3W5
_chemical_formula_sum 'Mo6 W10'
_cell_length_a 6.278
_cell_length_b 8.876
_cell_length_c 4.455
_cell_angle_alpha 90.00
_cell_angle_beta 90.00
_cell_angle_gamma 90.00
_space_group_name_H-M_alt 'C m m m'
_space_group_IT_number 65
_space_group_name_Hall '-C 2 2'
loop_
_atom_site_label
_atom_site_fract_x
_atom_site_fract_y
_atom_site_fract_z
_atom_site_occupancy
Mo1 0.000 0.000 0.000 1
Mo2 0.000 0.250 0.500 1
W1 0.000 0.500 0.000 1
W2 0.249 0.000 0.500 1
W3 0.250 0.250 0.000 1
```



Material: YMoW2
Method: DFT, SCAN
State: PBEsol geometry

Properties
- Crystal system: orthorhombic
- Spin magnetization: 0.00 μB/cell
- N(E_F): 5.0 states/eV per cell
- Raw total energy: -1.831 hartree per atom
- Formation enthalpy at 0 K: 0.697 eV/atom
- Calculated volume: 17.6 A^3/atom
- Distance to the lowest polymorph of the same formula: 268 meV per atom

Cell and atoms, written as CIF:
```
data_YMoW2
_chemical_formula_sum 'Y2 Mo2 W4'
_cell_length_a 5.398
_cell_length_b 9.621
_cell_length_c 2.716
_cell_angle_alpha 90.00
_cell_angle_beta 90.00
_cell_angle_gamma 90.00
_space_group_name_H-M_alt 'C m m m'
_space_group_IT_number 65
_space_group_name_Hall '-C 2 2'
loop_
_atom_site_label
_atom_site_fract_x
_atom_site_fract_y
_atom_site_fract_z
_atom_site_occupancy
Y1 0.000 0.000 0.000 1
Mo1 0.000 0.500 0.000 1
W1 0.250 0.250 0.500 1
```



Material: Y2MoW
Method: DFT, SCAN
State: PBEsol geometry

Properties
- Crystal system: monoclinic
- Spin magnetization: 0.00 μB/cell
- N(E_F): 4.5 states/eV per cell
- Raw total energy: -1.446 hartree per atom
- Formation enthalpy at 0 K: 0.727 eV/atom
- Calculated volume: 19.9 A^3/atom
- Distance to the lowest polymorph of the same formula: 244 meV per atom

Cell and atoms, written as CIF:
```
data_Y2MoW
_chemical_formula_sum 'Y2 Mo1 W1'
_cell_length_a 2.924
_cell_length_b 4.889
_cell_length_c 5.710
_cell_angle_alpha 90.00
_cell_angle_beta 103.05
_cell_angle_gamma 90.00
_space_group_name_H-M_alt 'P 1 2/m 1'
_space_group_IT_number 10
loop_
_space_group_symop_operation_xyz
'x,y,z'
'-x,-y,-z'
'-x,y,-z'
'x,-y,z'
loop_
_atom_site_label
_atom_site_fract_x
_atom_site_fract_y
_atom_site_fract_z
_atom_site_occupancy
Y1 0.197 0.000 0.249 1
Mo1 0.000 0.500 0.500 1
W1 0.500 0.500 0.000 1
```



Material: YMoW2
Method: DFT, SCAN
State: PBEsol geometry

Properties
- Crystal system: orthorhombic
- Spin magnetization: 0.00 μB/cell
- N(E_F): 6.4 states/eV per cell
- Raw total energy: -1.841 hartree per atom
- Formation enthalpy at 0 K: 0.429 eV/atom
- Calculated volume: 17.4 A^3/atom
- Distance to the lowest polymorph of the same formula: 0 meV per atom

Cell and atoms, written as CIF:
```
data_YMoW2
_chemical_formula_sum 'Y2 Mo2 W4'
_cell_length_a 3.211
_cell_length_b 4.605
_cell_length_c 9.429
_cell_angle_alpha 90.00
_cell_angle_beta 90.00
_cell_angle_gamma 90.00
_space_group_name_H-M_alt 'C m m m'
_space_group_IT_number 65
_space_group_name_Hall '-C 2 2'
loop_
_atom_site_label
_atom_site_fract_x
_atom_site_fract_y
_atom_site_fract_z
_atom_site_occupancy
Y1 0.000 0.000 0.000 1
Mo1 0.000 0.000 0.500 1
W1 0.000 0.500 0.275 1
```



Material: Y2MoW
Method: DFT, SCAN
State: PBEsol geometry

Properties
- Crystal system: orthorhombic
- Spin magnetization: 0.00 μB/cell
- N(E_F): 8.0 states/eV per cell
- Raw total energy: -1.455 hartree per atom
- Formation enthalpy at 0 K: 0.483 eV/atom
- Calculated volume: 21.1 A^3/atom
- Distance to the lowest polymorph of the same formula: 0 meV per atom

Cell and atoms, written as CIF:
```
data_Y2MoW
_chemical_formula_sum 'Y4 Mo2 W2'
_cell_length_a 3.342
_cell_length_b 5.027
_cell_length_c 10.028
_cell_angle_alpha 90.00
_cell_angle_beta 90.00
_cell_angle_gamma 90.00
_space_group_name_H-M_alt 'C m m 2'
_space_group_IT_number 35
loop_
_space_group_symop_operation_xyz
'x,y,z'
'-x,-y,z'
'-x,y,z'
'x,-y,z'
'x+1/2,y+1/2,z'
'-x+1/2,-y+1/2,z'
'-x+1/2,y+1/2,z'
'x+1/2,-y+1/2,z'
loop_
_atom_site_label
_atom_site_fract_x
_atom_site_fract_y
_atom_site_fract_z
_atom_site_occupancy
Y1 0.000 0.000 0.000 1
Y2 0.000 0.500 0.328 1
Mo1 0.000 0.500 0.761 1
W1 0.000 0.000 0.571 1
```



Material: YMoW2
Method: DFT, SCAN
State: PBEsol geometry

Properties
- Crystal system: orthorhombic
- Spin magnetization: 0.00 μB/cell
- N(E_F): 2.9 states/eV per cell
- Raw total energy: -1.831 hartree per atom
- Formation enthalpy at 0 K: 0.711 eV/atom
- Calculated volume: 17.7 A^3/atom
- Distance to the lowest polymorph of the same formula: 282 meV per atom

Cell and atoms, written as CIF:
```
data_YMoW2
_chemical_formula_sum 'Y1 Mo1 W2'
_cell_length_a 2.712
_cell_length_b 4.770
_cell_length_c 5.468
_cell_angle_alpha 90.00
_cell_angle_beta 90.00
_cell_angle_gamma 90.00
_space_group_name_H-M_alt 'P m m m'
_space_group_IT_number 47
loop_
_space_group_symop_operation_xyz
'x,y,z'
'-x,-y,-z'
'-x,-y,z'
'x,y,-z'
'x,-y,-z'
'-x,y,z'
'-x,y,-z'
'x,-y,z'
loop_
_atom_site_label
_atom_site_fract_x
_atom_site_fract_y
_atom_site_fract_z
_atom_site_occupancy
Y1 0.000 0.000 0.000 1
Mo1 0.000 0.000 0.500 1
W1 0.500 0.500 0.260 1
```



Material: ZnMo2W
Method: DFT, SCAN
State: PBEsol geometry

Properties
- Crystal system: orthorhombic
- Spin magnetization: 0.00 μB/cell
- N(E_F): 3.4 states/eV per cell
- Raw total energy: -1.403 hartree per atom
- Formation enthalpy at 0 K: 0.069 eV/atom
- Calculated volume: 15.1 A^3/atom

Cell and atoms, written as CIF:
```
data_ZnMo2W
_chemical_formula_sum 'Zn2 Mo4 W2'
_cell_length_a 3.192
_cell_length_b 4.330
_cell_length_c 8.714
_cell_angle_alpha 90.00
_cell_angle_beta 90.00
_cell_angle_gamma 90.00
_space_group_name_H-M_alt 'C m m m'
_space_group_IT_number 65
_space_group_name_Hall '-C 2 2'
loop_
_atom_site_label
_atom_site_fract_x
_atom_site_fract_y
_atom_site_fract_z
_atom_site_occupancy
Zn1 0.000 0.000 0.000 1
Mo1 0.000 0.500 0.248 1
W1 0.000 0.000 0.500 1
```